Y3TaCl2O6: optimized geometry, PBE.

The crystal system is monoclinic. As for the density of states at the Fermi level: 0.00 states/eV per atom. As for the total moment: 0.00 μB/f.u. The calculated total energy comes out at -8.205 eV per atom. Its energy relative to the elements, uncorrected is -2.814 eV/atom.

It has space group C2/m (No. 12), with a = 11.502 Å, b = 6.551 Å, c = 5.529 Å, α = 90.00°, β = 100.60° and γ = 90.00°. Symmetry generates all atoms from Y at (0.000, 0.000, 0.000), Y at (0.250, 0.250, 0.500), Ta at (0.000, 0.500, 0.500), Cl at (0.206, 0.000, 0.849), O at (0.058, 0.264, 0.296) and O at (0.169, 0.500, 0.670).